Below is a geometry-optimized CrH2I structure, with properties calculated at the PBE-GGA level.

Structure (POSCAR):
```
CrH2I
1.0
6.2021 0.0000 0.0000
0.0000 6.2021 0.0000
3.1011 3.1011 3.1745
Cr H I
2 4 2
Direct
0.2500 0.7500 0.5000 Cr
0.5000 0.5000 0.0000 Cr
0.3784 0.6250 0.2500 H
0.8750 0.6216 0.7500 H
0.3750 0.6284 0.7500 H
0.3716 0.1250 0.2500 H
0.0000 0.0000 0.0000 I
0.7500 0.2500 0.5000 I
```

M_tot = 6.00 μB per cell
Relative energy among the computed polymorphs = 0.000 eV per atom